A plane-wave DFT calculation with PBE-GGA was carried out for a relaxed structure of ScTiTlGa.

symmetry = No. 216
energy = -20.25 eV per formula unit
calculated formation energy = -0.63 eV per formula unit

abc: 6.817 6.817 6.817
angles: 90.00 90.00 90.00
Sites, in units of the cell vectors:
Sc 0.000 0.000 0.000
Sc 0.000 0.500 0.500
Sc 0.500 0.000 0.500
Sc 0.500 0.500 0.000
Ti 0.000 0.000 0.500
Ti 0.000 0.500 0.000
Ti 0.500 0.000 0.000
Ti 0.500 0.500 0.500
Tl 0.250 0.250 0.250
Tl 0.250 0.750 0.750
Tl 0.750 0.250 0.750
Tl 0.750 0.750 0.250
Ga 0.250 0.250 0.750
Ga 0.250 0.750 0.250
Ga 0.750 0.250 0.250
Ga 0.750 0.750 0.750